The following is a DFT calculation (GGA-PBE) of crystalline Ac4Pb2Br3 at its relaxed geometry.

Results
Its density of states at the Fermi level is 3.0 states/eV/f.u. The energy relative to the elements, uncorrected comes out at -1157 meV/atom.

a = 4.8399 Å, b = 4.8399 Å, c = 17.9702 Å
α = 90.00°, β = 90.00°, γ = 120.00°
Fractional coordinates of all 9 atoms:
Ac (0.0000, 0.0000, 0.1928)
Ac (0.0000, 0.0000, 0.8072)
Ac (0.3333, 0.6667, 0.3965)
Ac (0.6667, 0.3333, 0.6035)
Pb (0.3333, 0.6667, 0.7040)
Pb (0.6667, 0.3333, 0.2960)
Br (0.0000, 0.0000, 0.5000)
Br (0.3333, 0.6667, 0.0992)
Br (0.6667, 0.3333, 0.9008)

***

The following is a DFT calculation (GGA-PBE) of crystalline AcPbBr5 at its relaxed geometry.

Results
Its density of states at the Fermi level is 0.0 states/eV/f.u. The energy relative to the elements, uncorrected comes out at -1513 meV/atom.

a = 8.4648 Å, b = 4.5873 Å, c = 14.2966 Å
α = 90.00°, β = 91.98°, γ = 90.00°
Fractional coordinates of all 14 atoms:
Ac (0.0835, 0.2500, 0.1532)
Ac (0.9165, 0.7500, 0.8468)
Pb (0.4135, 0.7500, 0.3670)
Pb (0.5865, 0.2500, 0.6330)
Br (0.1243, 0.2500, 0.7858)
Br (0.1527, 0.2500, 0.3697)
Br (0.1853, 0.7500, 0.0154)
Br (0.3588, 0.7500, 0.5707)
Br (0.4360, 0.2500, 0.1868)
Br (0.5640, 0.7500, 0.8132)
Br (0.6412, 0.2500, 0.4293)
Br (0.8147, 0.2500, 0.9846)
Br (0.8473, 0.7500, 0.6303)
Br (0.8757, 0.7500, 0.2142)

***

The following is a DFT calculation (GGA-PBE) of crystalline Ac2PbBr8 at its relaxed geometry.

Results
Its density of states at the Fermi level is 0.0 states/eV/f.u. The energy relative to the elements, uncorrected comes out at -1728 meV/atom.

a = 11.6494 Å, b = 11.6494 Å, c = 8.5270 Å
α = 95.68°, β = 95.68°, γ = 22.13°
Fractional coordinates of all 11 atoms:
Ac (0.1587, 0.1587, 0.3345)
Ac (0.8413, 0.8413, 0.6655)
Pb (0.5000, 0.5000, 0.0000)
Br (0.0178, 0.0178, 0.2446)
Br (0.2401, 0.2401, 0.6716)
Br (0.3652, 0.3652, 0.9403)
Br (0.3890, 0.3890, 0.4720)
Br (0.6110, 0.6110, 0.5280)
Br (0.6348, 0.6348, 0.0597)
Br (0.7599, 0.7599, 0.3284)
Br (0.9822, 0.9822, 0.7554)

***

The following is a DFT calculation (GGA-PBE) of crystalline AcPbBr2 at its relaxed geometry.

Results
Its density of states at the Fermi level is 1.7 states/eV/f.u. The energy relative to the elements, uncorrected comes out at -688 meV/atom.

a = 11.3828 Å, b = 11.3828 Å, c = 11.3828 Å
α = 20.10°, β = 20.10°, γ = 20.10°
Fractional coordinates of all 4 atoms:
Ac (0.0000, 0.0000, 0.0000)
Pb (0.5000, 0.5000, 0.5000)
Br (0.0883, 0.0883, 0.0883)
Br (0.9117, 0.9117, 0.9117)

***

The following is a DFT calculation (GGA-PBE) of crystalline Ac2PbBr at its relaxed geometry.

Results
As for the energy above the most stable polymorph in this dataset: 88 meV/atom. Its density of states at the Fermi level is 3.4 states/eV/f.u. The energy relative to the elements, uncorrected comes out at -848 meV/atom.

a = 8.4790 Å, b = 8.4790 Å, c = 8.4790 Å
α = 32.66°, β = 32.66°, γ = 32.66°
Fractional coordinates of all 4 atoms:
Ac (0.0000, 0.0000, 0.0000)
Ac (0.1823, 0.1823, 0.1823)
Pb (0.5901, 0.5901, 0.5901)
Br (0.7612, 0.7612, 0.7612)

***

The following is a DFT calculation (GGA-PBE) of crystalline AcPrPbBr at its relaxed geometry.

Results
Its density of states at the Fermi level is 2.9 states/eV/f.u. The energy relative to the elements, uncorrected comes out at -845 meV/atom.

a = 5.6476 Å, b = 5.6476 Å, c = 5.6476 Å
α = 60.00°, β = 60.00°, γ = 60.00°
Fractional coordinates of all 4 atoms:
Ac (0.0000, 0.0000, 0.0000)
Pr (0.5000, 0.5000, 0.5000)
Pb (0.7500, 0.7500, 0.7500)
Br (0.2500, 0.2500, 0.2500)

***

The following is a DFT calculation (GGA-PBE) of crystalline Ac3PtPbBr at its relaxed geometry.

Results
Its density of states at the Fermi level is 5.0 states/eV/f.u. The energy relative to the elements, uncorrected comes out at -929 meV/atom.

a = 8.5093 Å, b = 4.6536 Å, c = 11.4316 Å
α = 90.00°, β = 110.89°, γ = 90.00°
Fractional coordinates of all 12 atoms:
Ac (0.0333, 0.2500, 0.3539)
Ac (0.2019, 0.2500, 0.9883)
Ac (0.4328, 0.7500, 0.6229)
Ac (0.5672, 0.2500, 0.3771)
Ac (0.7981, 0.7500, 0.0117)
Ac (0.9667, 0.7500, 0.6461)
Pt (0.2041, 0.2500, 0.6279)
Pt (0.7959, 0.7500, 0.3721)
Pb (0.2297, 0.7500, 0.2193)
Pb (0.7703, 0.2500, 0.7807)
Br (0.3725, 0.7500, 0.8876)
Br (0.6275, 0.2500, 0.1124)

***

The following is a DFT calculation (GGA-PBE) of crystalline RbAcPb2Br8 at its relaxed geometry.

Results
Its density of states at the Fermi level is 0.0 states/eV/f.u. The energy relative to the elements, uncorrected comes out at -1406 meV/atom.

a = 7.0958 Å, b = 9.5416 Å, c = 7.4117 Å
α = 90.00°, β = 90.77°, γ = 90.00°
Fractional coordinates of all 12 atoms:
Rb (0.0000, 0.0000, 0.0000)
Ac (0.0000, 0.5000, 0.0000)
Pb (0.5000, 0.2435, 0.5000)
Pb (0.5000, 0.7565, 0.5000)
Br (0.2523, 0.2737, 0.1608)
Br (0.2523, 0.7263, 0.1608)
Br (0.2558, 0.5000, 0.6657)
Br (0.2728, 0.0000, 0.6268)
Br (0.7272, 0.0000, 0.3732)
Br (0.7442, 0.5000, 0.3343)
Br (0.7477, 0.2737, 0.8392)
Br (0.7477, 0.7263, 0.8392)

***

The following is a DFT calculation (GGA-PBE) of crystalline Ac8Rh3PbBr4 at its relaxed geometry.

Results
Its density of states at the Fermi level is 12.4 states/eV/f.u. The energy relative to the elements, uncorrected comes out at -1029 meV/atom.

a = 9.6657 Å, b = 9.6657 Å, c = 9.6657 Å
α = 55.68°, β = 55.68°, γ = 55.68°
Fractional coordinates of all 16 atoms:
Ac (0.2067, 0.7463, 0.7463)
Ac (0.2336, 0.2336, 0.2336)
Ac (0.2537, 0.2537, 0.7933)
Ac (0.2537, 0.7933, 0.2537)
Ac (0.7463, 0.2067, 0.7463)
Ac (0.7463, 0.7463, 0.2067)
Ac (0.7664, 0.7664, 0.7664)
Ac (0.7933, 0.2537, 0.2537)
Rh (0.0000, 0.0000, 0.5000)
Rh (0.0000, 0.5000, 0.0000)
Rh (0.5000, 0.0000, 0.0000)
Pb (0.5000, 0.5000, 0.5000)
Br (0.0000, 0.0000, 0.0000)
Br (0.0000, 0.5000, 0.5000)
Br (0.5000, 0.0000, 0.5000)
Br (0.5000, 0.5000, 0.0000)

***

The following is a DFT calculation (GGA-PBE) of crystalline Ac4RhPbBr2 at its relaxed geometry.

Results
Its density of states at the Fermi level is 5.8 states/eV/f.u. The energy relative to the elements, uncorrected comes out at -980 meV/atom.

a = 8.3067 Å, b = 4.5137 Å, c = 8.3142 Å
α = 90.00°, β = 107.77°, γ = 90.00°
Fractional coordinates of all 8 atoms:
Ac (0.2128, 0.0000, 0.2039)
Ac (0.2267, 0.5000, 0.7876)
Ac (0.7733, 0.5000, 0.2124)
Ac (0.7872, 0.0000, 0.7961)
Rh (0.0000, 0.5000, 0.0000)
Pb (0.5000, 0.0000, 0.0000)
Br (0.0000, 0.0000, 0.5000)
Br (0.5000, 0.5000, 0.5000)

***

The following is a DFT calculation (GGA-PBE) of crystalline Ac3RuPbBr at its relaxed geometry.

Results
Its density of states at the Fermi level is 1.7 states/eV/f.u. The energy relative to the elements, uncorrected comes out at -529 meV/atom.

a = 8.5170 Å, b = 4.8237 Å, c = 10.4997 Å
α = 90.00°, β = 110.92°, γ = 90.00°
Fractional coordinates of all 12 atoms:
Ac (0.0381, 0.2500, 0.3659)
Ac (0.1985, 0.2500, 0.9704)
Ac (0.4097, 0.7500, 0.6045)
Ac (0.5903, 0.2500, 0.3955)
Ac (0.8015, 0.7500, 0.0296)
Ac (0.9619, 0.7500, 0.6341)
Ru (0.2243, 0.2500, 0.6367)
Ru (0.7757, 0.7500, 0.3633)
Pb (0.2449, 0.7500, 0.2299)
Pb (0.7551, 0.2500, 0.7701)
Br (0.3805, 0.7500, 0.8919)
Br (0.6195, 0.2500, 0.1081)

***

The following is a DFT calculation (GGA-PBE) of crystalline Ac4Sb2PbBr at its relaxed geometry.

Results
Its density of states at the Fermi level is 3.0 states/eV/f.u. The energy relative to the elements, uncorrected comes out at -1098 meV/atom.

a = 8.2677 Å, b = 8.2677 Å, c = 8.2677 Å
α = 131.97°, β = 131.97°, γ = 70.27°
Fractional coordinates of all 8 atoms:
Ac (0.0000, 0.5000, 0.5000)
Ac (0.2453, 0.2453, 0.0000)
Ac (0.5000, 0.0000, 0.5000)
Ac (0.7547, 0.7547, 0.0000)
Sb (0.2500, 0.7500, 0.5000)
Sb (0.7500, 0.2500, 0.5000)
Pb (0.0000, 0.0000, 0.0000)
Br (0.5000, 0.5000, 0.0000)

***

The following is a DFT calculation (GGA-PBE) of crystalline Ac4SiPbBr2 at its relaxed geometry.

Results
Its density of states at the Fermi level is 4.4 states/eV/f.u. The energy relative to the elements, uncorrected comes out at -984 meV/atom.

a = 7.8289 Å, b = 4.7289 Å, c = 8.3053 Å
α = 90.00°, β = 110.44°, γ = 90.00°
Fractional coordinates of all 8 atoms:
Ac (0.2253, 0.0000, 0.2274)
Ac (0.2333, 0.5000, 0.7627)
Ac (0.7667, 0.5000, 0.2373)
Ac (0.7747, 0.0000, 0.7726)
Si (0.0000, 0.5000, 0.0000)
Pb (0.0000, 0.0000, 0.5000)
Br (0.5000, 0.0000, 0.0000)
Br (0.5000, 0.5000, 0.5000)

***

The following is a DFT calculation (GGA-PBE) of crystalline SrAcPbBr at its relaxed geometry.

Results
Its density of states at the Fermi level is 0.5 states/eV/f.u. The energy relative to the elements, uncorrected comes out at -936 meV/atom.

a = 5.7874 Å, b = 5.7874 Å, c = 5.7874 Å
α = 60.00°, β = 60.00°, γ = 60.00°
Fractional coordinates of all 4 atoms:
Sr (0.0000, 0.0000, 0.0000)
Ac (0.5000, 0.5000, 0.5000)
Pb (0.2500, 0.2500, 0.2500)
Br (0.7500, 0.7500, 0.7500)

***

The following is a DFT calculation (GGA-PBE) of crystalline Ac3PdBr3 at its relaxed geometry.

Results
Its density of states at the Fermi level is 4.9 states/eV/f.u. The energy relative to the elements, uncorrected comes out at -1352 meV/atom.

a = 9.6478 Å, b = 4.3101 Å, c = 13.0642 Å
α = 90.00°, β = 91.93°, γ = 90.00°
Fractional coordinates of all 14 atoms:
Ac (0.0868, 0.2500, 0.3818)
Ac (0.1489, 0.2500, 0.8600)
Ac (0.3426, 0.7500, 0.6247)
Ac (0.6574, 0.2500, 0.3753)
Ac (0.8511, 0.7500, 0.1400)
Ac (0.9132, 0.7500, 0.6182)
Pd (0.1308, 0.2500, 0.6275)
Pd (0.8692, 0.7500, 0.3725)
Br (0.1027, 0.2500, 0.1112)
Br (0.3749, 0.7500, 0.3737)
Br (0.3960, 0.7500, 0.8738)
Br (0.6040, 0.2500, 0.1262)
Br (0.6251, 0.2500, 0.6263)
Br (0.8973, 0.7500, 0.8888)

***

The following is a DFT calculation (GGA-PBE) of crystalline Ac4PdBr5 at its relaxed geometry.

Results
Its density of states at the Fermi level is 4.5 states/eV/f.u. The energy relative to the elements, uncorrected comes out at -1472 meV/atom.

a = 10.4093 Å, b = 10.4093 Å, c = 9.3444 Å
α = 107.66°, β = 107.66°, γ = 23.88°
Fractional coordinates of all 10 atoms:
Ac (0.0026, 0.0026, 0.2807)
Ac (0.3413, 0.3413, 0.3785)
Ac (0.6587, 0.6587, 0.6215)
Ac (0.9974, 0.9974, 0.7193)
Pd (0.5000, 0.5000, 0.5000)
Br (0.1656, 0.1656, 0.8793)
Br (0.1746, 0.1746, 0.3661)
Br (0.5000, 0.5000, 0.0000)
Br (0.8254, 0.8254, 0.6339)
Br (0.8344, 0.8344, 0.1207)

***

The following is a DFT calculation (GGA-PBE) of crystalline Ac3Pd2Br at its relaxed geometry.

Results
Its density of states at the Fermi level is 5.4 states/eV/f.u. The energy relative to the elements, uncorrected comes out at -733 meV/atom.

a = 7.8756 Å, b = 7.8756 Å, c = 10.9274 Å
α = 90.00°, β = 90.00°, γ = 144.24°
Fractional coordinates of all 12 atoms:
Ac (0.1137, 0.8863, 0.7500)
Ac (0.3752, 0.6248, 0.5490)
Ac (0.3752, 0.6248, 0.9510)
Ac (0.6248, 0.3752, 0.0490)
Ac (0.6248, 0.3752, 0.4510)
Ac (0.8863, 0.1137, 0.2500)
Pd (0.0000, 0.0000, 0.0000)
Pd (0.0000, 0.0000, 0.5000)
Pd (0.4868, 0.5132, 0.2500)
Pd (0.5132, 0.4868, 0.7500)
Br (0.2197, 0.7803, 0.2500)
Br (0.7803, 0.2197, 0.7500)

***

The following is a DFT calculation (GGA-PBE) of crystalline Ac4Pd3Br at its relaxed geometry.

Results
Its density of states at the Fermi level is 5.7 states/eV/f.u. The energy relative to the elements, uncorrected comes out at -892 meV/atom.

a = 4.3778 Å, b = 6.3461 Å, c = 9.2715 Å
α = 90.00°, β = 90.00°, γ = 90.00°
Fractional coordinates of all 8 atoms:
Ac (0.0000, 0.0000, 0.0000)
Ac (0.0000, 0.0000, 0.5000)
Ac (0.5000, 0.5000, 0.2223)
Ac (0.5000, 0.5000, 0.7777)
Pd (0.0000, 0.5000, 0.0000)
Pd (0.5000, 0.0000, 0.2571)
Pd (0.5000, 0.0000, 0.7429)
Br (0.0000, 0.5000, 0.5000)

***

The following is a DFT calculation (GGA-PBE) of crystalline AcPdBr2 at its relaxed geometry.

Results
Its density of states at the Fermi level is 2.9 states/eV/f.u. The energy relative to the elements, uncorrected comes out at -751 meV/atom.

a = 9.5370 Å, b = 9.5370 Å, c = 9.5370 Å
α = 24.55°, β = 24.55°, γ = 24.55°
Fractional coordinates of all 4 atoms:
Ac (0.0000, 0.0000, 0.0000)
Pd (0.5000, 0.5000, 0.5000)
Br (0.4111, 0.4111, 0.4111)
Br (0.5889, 0.5889, 0.5889)

***

The following is a DFT calculation (GGA-PBE) of crystalline AcPdBr6 at its relaxed geometry.

Results
Its density of states at the Fermi level is 1.8 states/eV/f.u. The energy relative to the elements, uncorrected comes out at -1005 meV/atom.

a = 6.7437 Å, b = 6.8022 Å, c = 7.4367 Å
α = 89.92°, β = 63.24°, γ = 64.37°
Fractional coordinates of all 8 atoms:
Ac (0.0000, 0.0000, 0.0000)
Pd (0.0000, 0.5000, 0.5000)
Br (0.1656, 0.5474, 0.7308)
Br (0.1902, 0.7165, 0.2730)
Br (0.4546, 0.1067, 0.2627)
Br (0.5454, 0.8933, 0.7373)
Br (0.8098, 0.2835, 0.7270)
Br (0.8344, 0.4526, 0.2692)

***

The following is a DFT calculation (GGA-PBE) of crystalline Ac6PdPt2Br3 at its relaxed geometry.

Results
Its density of states at the Fermi level is 9.4 states/eV/f.u. The energy relative to the elements, uncorrected comes out at -1261 meV/atom.

a = 10.6698 Å, b = 10.6698 Å, c = 9.7043 Å
α = 109.67°, β = 109.67°, γ = 24.18°
Fractional coordinates of all 12 atoms:
Ac (0.0130, 0.0130, 0.2230)
Ac (0.3211, 0.3211, 0.4474)
Ac (0.3445, 0.3445, 0.8861)
Ac (0.6555, 0.6555, 0.1139)
Ac (0.6789, 0.6789, 0.5526)
Ac (0.9870, 0.9870, 0.7770)
Pd (0.5000, 0.5000, 0.0000)
Pt (0.1664, 0.1664, 0.3320)
Pt (0.8336, 0.8336, 0.6680)
Br (0.1658, 0.1658, 0.8316)
Br (0.5000, 0.5000, 0.5000)
Br (0.8342, 0.8342, 0.1684)

***

The following is a DFT calculation (GGA-PBE) of crystalline Ac8PdRh3Br3 at its relaxed geometry.

Results
Its density of states at the Fermi level is 7.1 states/eV/f.u. The energy relative to the elements, uncorrected comes out at -1012 meV/atom.

a = 8.7530 Å, b = 8.7530 Å, c = 9.5200 Å
α = 117.35°, β = 117.35°, γ = 60.05°
Fractional coordinates of all 15 atoms:
Ac (0.2243, 0.7387, 0.7013)
Ac (0.2334, 0.2334, 0.6997)
Ac (0.2615, 0.2615, 0.2988)
Ac (0.2613, 0.7757, 0.2987)
Ac (0.7387, 0.2243, 0.7013)
Ac (0.7385, 0.7385, 0.7012)
Ac (0.7666, 0.7666, 0.3003)
Ac (0.7757, 0.2613, 0.2987)
Pd (0.5000, 0.5000, 0.5000)
Rh (0.0000, 0.0000, 0.5000)
Rh (0.0000, 0.5000, 0.5000)
Rh (0.5000, 0.0000, 0.5000)
Br (0.0000, 0.5000, 0.0000)
Br (0.5000, 0.0000, 0.0000)
Br (0.5000, 0.5000, 0.0000)